Entry 1:
A relaxed structure of CdIr2Pb, computed with PBE.

Computed properties:
Its energy above the most stable polymorph in this dataset is 0.127 eV/atom. The magnetization comes out at 0.000 μB per atom. The value obtained for the formation energy is 0.458 eV per atom.

Lattice parameters (Å, degrees): 10.6810 10.6810 10.6810 15.99 15.99 15.99
Element x y z (fractional)
Ir  0.2607  0.2607  0.2607
Pb  0.5144  0.5144  0.5144
Cd  0.7333  0.7333  0.7333
Ir  0.9917  0.9917  0.9917

***

Entry 2:
A relaxed structure of Cd2IrPb, computed with PBE.

Computed properties:
The magnetization comes out at 0.000 μB per atom. The value obtained for the formation energy is 0.299 eV per atom.

Lattice parameters (Å, degrees): 4.9768 3.2701 5.6611 69.84 90.00 90.00
Element x y z (fractional)
Cd  0.0000  0.3780  0.4751
Pb  0.5000  0.7500  0.7500
Cd  0.0000  0.1220  0.0249
Ir  0.5000  0.2500  0.2500

***

Entry 3:
A relaxed structure of CdIr2Pb, computed with PBE.

Computed properties:
Its energy above the most stable polymorph in this dataset is 0.425 eV/atom. The magnetization comes out at 0.014 μB per atom. The value obtained for the formation energy is 0.757 eV per atom.

Lattice parameters (Å, degrees): 7.4591 7.4591 6.0081 51.63 51.63 90.00
Element x y z (fractional)
Cd  0.2500  0.7500  0.5000
Ir  0.6303  0.1250  0.2500
Ir  0.8750  0.8803  0.7500
Cd  0.5000  0.5000  0.0000
Ir  0.3750  0.3697  0.7500
Ir  0.1197  0.6250  0.2500
Pb  0.0000  0.0000  0.0000
Pb  0.7500  0.2500  0.5000

***

Entry 4:
A relaxed structure of Cd2IrPb, computed with PBE.

Computed properties:
The magnetization comes out at 0.000 μB per atom. The value obtained for the formation energy is 0.100 eV per atom.

Lattice parameters (Å, degrees): 7.2327 7.2327 7.2327 155.40 142.43 45.43
Element x y z (fractional)
Pb  0.6808  0.1808  0.5000
Ir  0.5015  0.5015  0.0000
Cd  0.9918  0.9918  0.0000
Cd  0.3259  0.8259  0.5000

***

Entry 5:
A relaxed structure of CdIr2Pb, computed with PBE.

Computed properties:
Its energy above the most stable polymorph in this dataset is 0.261 eV/atom. The magnetization comes out at 0.000 μB per atom. The value obtained for the formation energy is 0.593 eV per atom.

Lattice parameters (Å, degrees): 3.0226 3.0226 9.1388 90.00 90.00 115.93
Element x y z (fractional)
Ir  0.0000  0.0000  0.5028
Pb  0.5000  0.5000  0.2500
Cd  0.5000  0.5000  0.7500
Ir  0.0000  0.0000  0.9972

***

Entry 6:
A relaxed structure of CdIr2Pb, computed with PBE.

Computed properties:
Its energy above the most stable polymorph in this dataset is 0.019 eV/atom. The magnetization comes out at 0.000 μB per atom. The value obtained for the formation energy is 0.351 eV per atom.

Lattice parameters (Å, degrees): 5.4750 5.4750 5.1730 65.71 65.71 32.16
Element x y z (fractional)
Ir  0.9775  0.9775  0.9279
Pb  0.5189  0.5189  0.4315
Cd  0.7301  0.7301  0.8254
Ir  0.2736  0.2736  0.3153

***

Entry 7:
A relaxed structure of CdIrPb2, computed with PBE.

Computed properties:
The magnetization comes out at 0.000 μB per atom. The value obtained for the formation energy is 0.284 eV per atom.

Lattice parameters (Å, degrees): 4.6367 3.8730 5.6064 69.82 90.00 90.00
Element x y z (fractional)
Cd  0.0000  0.7004  0.4749
Ir  0.5000  0.5519  0.7704
Pb  0.5000  0.2680  0.3366
Pb  0.0000  0.9798  0.9181

***

Entry 8:
A relaxed structure of CdIr2Pb, computed with PBE.

Computed properties:
Its energy above the most stable polymorph in this dataset is 0.054 eV/atom. The magnetization comes out at 0.000 μB per atom. The value obtained for the formation energy is 0.386 eV per atom.

Lattice parameters (Å, degrees): 4.4353 3.2303 5.5356 72.96 90.00 90.00
Element x y z (fractional)
Cd  0.5000  0.7801  0.8148
Ir  0.5000  0.0556  0.2642
Ir  0.0000  0.1996  0.9751
Pb  0.0000  0.4646  0.4459

***

Entry 9:
A relaxed structure of Cd2IrPb, computed with PBE.

Computed properties:
The magnetization comes out at 0.000 μB per atom. The value obtained for the formation energy is 0.349 eV per atom.

Lattice parameters (Å, degrees): 5.2142 5.2142 3.2665 90.00 90.00 111.23
Element x y z (fractional)
Cd  0.0000  0.0000  0.0000
Cd  0.5000  0.5000  0.0000
Pb  0.0000  0.5000  0.5000
Ir  0.5000  0.0000  0.5000

***

Entry 10:
A relaxed structure of Cd2IrPb2, computed with PBE.

Computed properties:
Its energy above the most stable polymorph in this dataset is 0.457 eV/atom. The magnetization comes out at 0.038 μB per atom. The value obtained for the formation energy is 0.848 eV per atom.

Lattice parameters (Å, degrees): 4.1757 4.1757 8.0664 75.00 75.00 90.00
Element x y z (fractional)
Pb  0.7500  0.2500  0.5000
Pb  0.2500  0.7500  0.5000
Ir  0.0000  0.0000  0.0000
Cd  0.5870  0.5870  0.8260
Cd  0.4130  0.4130  0.1740

***

Entry 11:
A relaxed structure of Cd2IrPb2, computed with PBE.

Computed properties:
Its energy above the most stable polymorph in this dataset is 0.000 eV/atom. The magnetization comes out at 0.000 μB per atom. The value obtained for the formation energy is 0.390 eV per atom.

Lattice parameters (Å, degrees): 7.0792 7.0792 4.9775 90.00 90.00 90.00
Element x y z (fractional)
Pb  0.8216  0.3216  0.5000
Ir  0.0000  0.0000  0.0000
Cd  0.1456  0.3544  0.0000
Pb  0.3216  0.1784  0.5000
Cd  0.8544  0.6456  0.0000
Ir  0.5000  0.5000  0.0000
Cd  0.6456  0.1456  0.0000
Cd  0.3544  0.8544  0.0000
Pb  0.1784  0.6784  0.5000
Pb  0.6784  0.8216  0.5000

***

Entry 12:
A relaxed structure of CdIr2Pb, computed with PBE.

Computed properties:
Its energy above the most stable polymorph in this dataset is 0.136 eV/atom. The magnetization comes out at 0.000 μB per atom. The value obtained for the formation energy is 0.467 eV per atom.

Lattice parameters (Å, degrees): 4.8559 4.8559 5.2860 80.04 80.04 37.13
Element x y z (fractional)
Cd  0.7500  0.7500  0.7500
Ir  0.4977  0.4977  0.5216
Pb  0.2500  0.2500  0.2500
Ir  0.0023  0.0023  0.9784

***

Entry 13:
A relaxed structure of CdIr2Pb, computed with PBE.

Computed properties:
Its energy above the most stable polymorph in this dataset is 0.032 eV/atom. The magnetization comes out at 0.000 μB per atom. The value obtained for the formation energy is 0.364 eV per atom.

Lattice parameters (Å, degrees): 4.8450 4.8450 4.8496 125.96 125.96 79.97
Element x y z (fractional)
Cd  0.7500  0.2500  0.5000
Ir  0.0001  0.9999  0.0000
Ir  0.4999  0.5001  0.0000
Pb  0.2500  0.7500  0.5000

***

Entry 14:
A relaxed structure of Cd2IrPb, computed with PBE.

Computed properties:
The magnetization comes out at 0.000 μB per atom. The value obtained for the formation energy is 0.253 eV per atom.

Lattice parameters (Å, degrees): 5.4203 5.4203 5.4203 133.68 133.68 67.59
Element x y z (fractional)
Ir  0.2500  0.7500  0.5000
Cd  0.5000  0.5000  0.0000
Cd  0.0000  0.0000  0.0000
Pb  0.7500  0.2500  0.5000

***

Entry 15:
A relaxed structure of CdIr2Pb, computed with PBE.

Computed properties:
Its energy above the most stable polymorph in this dataset is 0.194 eV/atom. The magnetization comes out at 0.000 μB per atom. The value obtained for the formation energy is 0.526 eV per atom.

Lattice parameters (Å, degrees): 4.6531 3.0131 5.3703 88.70 90.00 90.00
Element x y z (fractional)
Ir  0.0000  0.0197  0.9760
Pb  0.5000  0.2500  0.2500
Ir  0.0000  0.4803  0.5240
Cd  0.5000  0.7500  0.7500

***

Entry 16:
A relaxed structure of CdIrPb2, computed with PBE.

Computed properties:
The magnetization comes out at 0.000 μB per atom. The value obtained for the formation energy is 0.251 eV per atom.

Lattice parameters (Å, degrees): 8.5277 8.5277 8.5277 26.23 26.23 26.23
Element x y z (fractional)
Cd  0.2500  0.2500  0.2500
Pb  0.0171  0.0171  0.0171
Pb  0.4829  0.4829  0.4829
Ir  0.7500  0.7500  0.7500

***

Entry 17:
A relaxed structure of CdIrPb2, computed with PBE.

Computed properties:
The magnetization comes out at 0.000 μB per atom. The value obtained for the formation energy is 0.241 eV per atom.

Lattice parameters (Å, degrees): 7.2256 7.2256 7.2256 154.38 142.05 46.35
Element x y z (fractional)
Ir  0.2448  0.7448  0.5000
Cd  0.4315  0.4315  0.0000
Pb  0.7635  0.2635  0.5000
Pb  0.0602  0.0602  0.0000